Density functional theory data (PBE) for a relaxed structure of Si2SnS.

Its volume is 23.81 A^3/atom. The formation energy (no corrections) is 145 kJ/mol of formula units.

The space group is I-42d (No. 122) and the conventional cell measures 5.333, 5.333 and 13.395 Å, with angles of 90.00, 90.00 and 90.00 degrees. The asymmetric unit holds Si at (0.200, 0.250, 0.125), Sn at (0.000, 0.000, 0.500) and S at (0.000, 0.000, 0.000).

Density functional theory data (PBE) for a relaxed structure of HfI3F.

Its volume is 35.18 A^3/atom. The formation energy (no corrections) is -293 kJ/mol of formula units.

The space group is Pm-3m (No. 221) and the conventional cell measures 5.603, 5.603 and 5.603 Å, with angles of 90.00, 90.00 and 90.00 degrees. The asymmetric unit holds Hf at (0.000, 0.000, 0.000), I at (0.000, 0.000, 0.500) and F at (0.500, 0.500, 0.500).